1.
Crystalline Y2Zr3Hg2 at its relaxed geometry, computed with PBE.

abc: 8.200 8.200 8.200
angles: 36.25 36.25 36.25
Fractional positions:
Y 0.000 0.000 0.000
Y 0.435 0.435 0.435
Zr 0.266 0.266 0.266
Zr 0.586 0.586 0.586
Zr 0.861 0.861 0.861
Hg 0.140 0.140 0.140
Hg 0.718 0.718 0.718

energy of formation = -0.19 eV per atom
VASP energy = -40.5 eV/f.u.
calculated volume = 24.64 A^3/atom


2.
Crystalline Y4CoCuN2 at its relaxed geometry, computed with PBE.

abc: 3.495 3.495 13.728
angles: 90.00 90.00 120.00
Fractional positions:
Y 0.000 0.000 0.143
Y 0.000 0.000 0.857
Y 0.333 0.667 0.346
Y 0.333 0.667 0.654
Co 0.333 0.667 0.000
Cu 0.000 0.000 0.500
N 0.667 0.333 0.248
N 0.667 0.333 0.752

VASP energy = -58.9 eV/f.u.
calculated volume = 18.15 A^3/atom


3.
Crystalline Cs2ReHgS6 at its relaxed geometry, computed with PBE.

abc: 7.221 7.221 7.221
angles: 60.00 60.00 60.00
Fractional positions:
Cs 0.250 0.250 0.250
Cs 0.750 0.750 0.750
Re 0.000 0.000 0.000
Hg 0.500 0.500 0.500
S 0.230 0.230 0.770
S 0.230 0.770 0.230
S 0.230 0.770 0.770
S 0.770 0.230 0.230
S 0.770 0.230 0.770
S 0.770 0.770 0.230

VASP energy = -40.9 eV/f.u.
calculated volume = 26.63 A^3/atom


4.
Crystalline ScGaCoNi at its relaxed geometry, computed with PBE.

abc: 4.245 4.245 4.245
angles: 60.00 60.00 60.00
Fractional positions:
Sc 0.000 0.000 0.000
Ga 0.500 0.500 0.500
Co 0.750 0.750 0.750
Ni 0.250 0.250 0.250

excess energy over the best structure of this formula in the dataset = 0.00 eV/f.u.
VASP energy = -24.0 eV/f.u.
calculated volume = 13.52 A^3/atom


5.
Crystalline KNaNpSe3 at its relaxed geometry, computed with PBE.

abc: 7.568 7.568 11.211
angles: 90.00 90.00 146.43
Fractional positions:
K 0.231 0.769 0.750
K 0.769 0.231 0.250
Na 0.050 0.950 0.250
Na 0.950 0.050 0.750
Np 0.500 0.500 0.000
Np 0.500 0.500 0.500
Se 0.126 0.874 0.028
Se 0.126 0.874 0.472
Se 0.440 0.560 0.250
Se 0.560 0.440 0.750
Se 0.874 0.126 0.528
Se 0.874 0.126 0.972

VASP energy = -32.3 eV/f.u.
calculated volume = 29.59 A^3/atom


6.
Crystalline Rb2Fe3Se4 at its relaxed geometry, computed with PBE.

abc: 9.558 9.558 9.558
angles: 145.58 109.31 81.05
Fractional positions:
Rb 0.125 0.243 0.368
Rb 0.375 0.743 0.119
Rb 0.625 0.257 0.881
Rb 0.875 0.757 0.632
Fe 0.003 0.250 0.753
Fe 0.250 0.750 0.500
Fe 0.497 0.250 0.247
Fe 0.503 0.750 0.753
Fe 0.750 0.250 0.500
Fe 0.997 0.750 0.247
Se 0.022 0.405 0.129
Se 0.224 0.095 0.617
Se 0.276 0.893 0.871
Se 0.478 0.607 0.383
Se 0.522 0.393 0.617
Se 0.724 0.107 0.129
Se 0.776 0.905 0.383
Se 0.978 0.595 0.871

VASP energy = -45.7 eV/f.u.
calculated volume = 25.24 A^3/atom